Record 1
DFT (PBE) results for MgTe2RhO after structural relaxation.

Lattice parameters (Å, degrees): 5.047 5.047 4.977 90.00 90.00 90.00
Space group P4/mmm (No. 123)
One atom of each set of equivalent atoms:
Mg  0.000  0.000  0.000 (multiplicity 1)
Te  0.000  0.500  0.500 (multiplicity 2)
Rh  0.000  0.000  0.500 (multiplicity 1)
O  0.500  0.500  0.000 (multiplicity 1)

Properties
raw formation energy	0.40	eV/atom
DFT total energy	-3.641	eV/atom
spin magnetization	0.0	μB/cell

Record 2
DFT (PBE) results for Sc2TlCu after structural relaxation.

Lattice parameters (Å, degrees): 3.4720 3.4720 25.5336 90.00 90.00 120.00
Space group R-3m (No. 166, hexagonal axes)
One atom of each set of equivalent atoms:
Sc  0.0000  0.0000  0.2365 (multiplicity 6)
Tl  0.0000  0.0000  0.0000 (multiplicity 3)
Cu  0.0000  0.0000  0.5000 (multiplicity 3)

Properties
DFT total energy	-4.885	eV/atom
spin magnetization	0.0	μB/cell

Record 3
DFT (PBE) results for PmBeP2 after structural relaxation.

Lattice parameters (Å, degrees): 4.2153 4.2153 21.4034 90.00 90.00 120.00
Space group R-3m (No. 166, hexagonal axes)
One atom of each set of equivalent atoms:
Pm  0.0000  0.0000  0.0000 (multiplicity 3)
Be  0.0000  0.0000  0.5000 (multiplicity 3)
P  0.0000  0.0000  0.4070 (multiplicity 6)

Properties
DFT total energy	-5.098	eV/atom
spin magnetization	0.0	μB/cell